Here is a geometry-optimized Ca2CrBiSe structure from the Alexandria database. Energies are from GGA-PBE.

abc: 5.548 5.548 4.878
angles: 90.00 90.00 90.00
Space group P4/mmm (No. 123)
Asymmetric unit:
1 Ca 0.000 0.500 0.000
2 Cr 0.000 0.000 0.500
3 Bi 0.500 0.500 0.500
4 Se 0.000 0.000 0.000

Results
Formation energy from raw total energies in kJ per mole of atoms: -55
E above lowest polymorph in eV/atom: 0.000
Total magnetic moment in μB per formula unit: 4.98